Material: CaSi2Pd3
Method: DFT, PBE
State: relaxed

CIF file:
```
data_CaSi2Pd3
_space_group_name_H-M_alt 'C 1 2/m 1'
_space_group_IT_number 12
_cell_length_a 14.673
_cell_length_b 4.155
_cell_length_c 7.670
_cell_angle_alpha 90.00
_cell_angle_beta 114.28
_cell_angle_gamma 90.00
loop_
_space_group_symop_operation_xyz
'x,y,z'
'-x,-y,-z'
'-x,y,-z'
'x,-y,z'
'x+1/2,y+1/2,z'
'-x+1/2,-y+1/2,-z'
'-x+1/2,y+1/2,-z'
'x+1/2,-y+1/2,z'
loop_
_atom_site_label
_atom_site_type_symbol
_atom_site_fract_x
_atom_site_fract_y
_atom_site_fract_z
Ca1 Ca 0.158 0.000 0.083
Si1 Si 0.014 0.500 0.161
Si2 Si 0.171 0.000 0.634
Pd1 Pd 0.025 0.000 0.334
Pd2 Pd 0.114 0.500 0.720
Pd3 Pd 0.178 0.500 0.425
```

Values from the calculation:
V, Å³ per atom: 17.76
ΔE_f (raw), eV per atom: -0.740